Entry 1:
The following is a DFT calculation (PBE) of crystalline Li5Hg3 at its relaxed geometry.

Energy of formation from the pure elements (eV per atom): -0.33
Volume (Å³/atom): 17.860

POSCAR file:
```
Li5Hg3
1.0
-2.9990 -2.4113 2.4709
0.3011 -4.2599 -3.7918
4.0335 -1.0032 3.9166
Li Hg
5 3
direct
0.0000 0.0000 0.0000
0.0000 0.5000 0.0000
0.0000 0.0000 0.5000
0.5000 0.7315 0.7315
0.5000 0.2685 0.2685
0.0000 0.5000 0.5000
0.5000 0.7685 0.2315
0.5000 0.2315 0.7685
```


Entry 2:
The following is a DFT calculation (PBE) of crystalline Ce2Ge4Pt3Rh at its relaxed geometry.

Energy of formation from the pure elements (eV per atom): -0.90
Volume (Å³/atom): 18.957

POSCAR file:
```
Ce2Ge4Pt3Rh
1.0
4.3004 0.0000 0.0000
0.0000 4.3004 0.0000
0.0000 0.0000 10.2502
Ce Ge Pt Rh
2 4 3 1
direct
0.5000 0.0000 0.2497
0.0000 0.5000 0.7503
0.5000 0.5000 0.0000
0.0000 0.0000 0.0000
0.5000 0.0000 0.6312
0.0000 0.5000 0.3688
0.0000 0.0000 0.5000
0.5000 0.0000 0.8712
0.0000 0.5000 0.1288
0.5000 0.5000 0.5000
```


Copy entry 1 word for word.
The following is a DFT calculation (PBE) of crystalline Li5Hg3 at its relaxed geometry.

Energy of formation from the pure elements (eV per atom): -0.33
Volume (Å³/atom): 17.860

POSCAR file:
```
Li5Hg3
1.0
-2.9990 -2.4113 2.4709
0.3011 -4.2599 -3.7918
4.0335 -1.0032 3.9166
Li Hg
5 3
direct
0.0000 0.0000 0.0000
0.0000 0.5000 0.0000
0.0000 0.0000 0.5000
0.5000 0.7315 0.7315
0.5000 0.2685 0.2685
0.0000 0.5000 0.5000
0.5000 0.7685 0.2315
0.5000 0.2315 0.7685
```


Q: Look up the volume of the first one.
A: 17.860 Å³/atom


Q: Which of these has the lowest volume?
A: Li5Hg3